Rb2TcSb | GGA-PBE | relaxed

Summary:
Size of the total moment ... 2.1 μB per formula unit
E ... -3.53 eV/atom
N(E_F) ... 12.88 states/eV/cell
Space-group type ... I-42d (122)
Formation energy (no corrections) ... 581 meV/atom

```
data_Rb2TcSb
_chemical_formula_sum 'Rb4 Tc2 Sb2'
_cell_length_a 13.646
_cell_length_b 13.646
_cell_length_c 9.984
_cell_angle_alpha 46.89
_cell_angle_beta 46.89
_cell_angle_gamma 90.00
_space_group_name_H-M_alt 'P 1'
_space_group_IT_number 1
loop_
_space_group_symop_operation_xyz
'x,y,z'
loop_
_atom_site_label
_atom_site_fract_x
_atom_site_fract_y
_atom_site_fract_z
Sb1 0.000 0.000 0.000
Sb2 0.750 0.250 0.500
Tc1 0.500 0.500 0.000
Tc2 0.250 0.750 0.500
Rb1 0.391 0.125 0.250
Rb2 0.359 0.625 0.250
Rb3 0.375 0.609 0.750
Rb4 0.875 0.641 0.750
```